# 1
Compound: DyY2Pd
Source: Alexandria via LeMat-Bulk
Functional: PBE
Structure: optimized geometry

Lattice parameters (Å, degrees): 3.6606 3.6606 10.0363 79.49 79.49 60.00
Closest atoms and distances in Å follow each position.
Fractional coordinates of all 4 atoms:
Y 0.2667 0.2667 0.1998  3 Pd 2.88
Y 0.7333 0.7333 0.8002  3 Pd 2.88
Pd 0.0000 0.0000 0.0000  6 Y 2.88
Dy 0.5000 0.5000 0.5000  6 Y 3.63, 6 Dy 3.66

Summary:
DFT formation energy	-0.279	eV per atom
SG	R-3m (166)
calculated density	6.52	Mg/m³

***

# 2
Compound: DyY3Pd
Source: Alexandria via LeMat-Bulk
Functional: PBE
Structure: optimized geometry

Lattice parameters (Å, degrees): 3.7342 6.3946 12.6594 86.99 81.52 73.02
Closest atoms and distances in Å follow each position.
Fractional coordinates of all 10 atoms:
Dy 0.1086 0.5013 0.2815  2 Pd 2.87
Dy 0.2220 0.5621 0.9939  3 Pd 2.90-3.01
Y 0.4562 0.9342 0.1534  2 Pd 3.06
Y 0.7584 0.7287 0.7545  2 Pd 3.02
Y 0.1034 0.1665 0.6268  2 Pd 2.89
Y 0.9918 0.1011 0.9154  3 Pd 2.92-3.04
Y 0.7820 0.0467 0.3893  9 Y 3.56-3.89, 3 Dy 3.60-3.61, 1 Pd 3.66
Y 0.4298 0.6237 0.5167  10 Y 3.56-3.89, 2 Dy 3.57, 1 Pd 3.70
Pd 0.7704 0.3288 0.1304  4 Dy 2.87-2.90, 3 Y 3.04-3.06
Pd 0.4383 0.3438 0.7797  6 Y 2.89-3.02, 1 Dy 3.01

Summary:
DFT formation energy	-0.357	eV per atom
SG	Cm (8)
calculated density	6.22	Mg/m³

***

# 3
Compound: Dy4YPd4
Source: Alexandria via LeMat-Bulk
Functional: PBE
Structure: optimized geometry

Lattice parameters (Å, degrees): 5.7763 8.9791 8.9791 90.00 90.00 90.00
Closest atoms and distances in Å follow each position.
Fractional coordinates of all 18 atoms:
Dy 0.4111 0.3209 0.9078  5 Pd 2.82-2.95
Dy 0.9111 0.5922 0.8209  5 Pd 2.82-2.95
Dy 0.4111 0.6791 0.0922  5 Pd 2.82-2.95
Dy 0.0889 0.1791 0.5922  5 Pd 2.82-2.95
Dy 0.5889 0.9078 0.6791  5 Pd 2.82-2.95
Dy 0.0889 0.8209 0.4078  5 Pd 2.82-2.95
Dy 0.9111 0.4078 0.1791  5 Pd 2.82-2.95
Dy 0.5889 0.0922 0.3209  5 Pd 2.82-2.95
Y 0.0000 0.0000 0.0000  4 Pd 2.82
Y 0.5000 0.5000 0.5000  4 Pd 2.82
Pd 0.5929 0.7830 0.3763  5 Dy 2.82-2.95, 1 Y 2.82, 1 Pd 2.96
Pd 0.5929 0.2170 0.6237  5 Dy 2.82-2.95, 1 Y 2.82, 1 Pd 2.96
Pd 0.0929 0.8763 0.7170  5 Dy 2.82-2.95, 1 Y 2.82, 1 Pd 2.96
Pd 0.9071 0.2830 0.8763  5 Dy 2.82-2.95, 1 Y 2.82, 1 Pd 2.96
Pd 0.9071 0.7170 0.1237  5 Dy 2.82-2.95, 1 Y 2.82, 1 Pd 2.96
Pd 0.4071 0.3763 0.2170  5 Dy 2.82-2.95, 1 Y 2.82, 1 Pd 2.96
Pd 0.4071 0.6237 0.7830  5 Dy 2.82-2.95, 1 Y 2.82, 1 Pd 2.96
Pd 0.0929 0.1237 0.2830  5 Dy 2.82-2.95, 1 Y 2.82, 1 Pd 2.96

Summary:
DFT formation energy	-0.670	eV per atom
SG	P4_2/n (86)
calculated density	8.30	Mg/m³

***

# 4
Compound: DyY2Pd
Source: Alexandria via LeMat-Bulk
Functional: PBE
Structure: optimized geometry

Lattice parameters (Å, degrees): 3.5866 3.5866 8.4414 90.00 90.00 90.00
Closest atoms and distances in Å follow each position.
Fractional coordinates of all 4 atoms:
Y 0.0000 0.0000 0.8004  4 Pd 3.04, 1 Y 3.37
Y 0.0000 0.0000 0.1996  4 Pd 3.04, 1 Y 3.37
Pd 0.5000 0.5000 0.0000  8 Y 3.04
Dy 0.5000 0.5000 0.5000  4 Dy 3.59, 8 Y 3.59

Summary:
DFT formation energy	-0.399	eV per atom
SG	P4/mmm (123)
calculated density	6.83	Mg/m³

***

# 5
Compound: Dy2YPd9
Source: Alexandria via LeMat-Bulk
Functional: PBE
Structure: optimized geometry

Lattice parameters (Å, degrees): 4.1274 4.1274 12.3789 90.00 90.00 90.00
Closest atoms and distances in Å follow each position.
Fractional coordinates of all 12 atoms:
Dy 0.0000 0.0000 0.3341  12 Pd 2.91-2.92
Dy 0.0000 0.0000 0.6659  12 Pd 2.91-2.92
Y 0.0000 0.0000 0.0000  12 Pd 2.92-2.93
Pd 0.5000 0.5000 0.0000  4 Y 2.92, 8 Pd 2.93
Pd 0.5000 0.5000 0.3334  8 Pd 2.91-2.92, 4 Dy 2.92
Pd 0.5000 0.5000 0.6666  8 Pd 2.91-2.92, 4 Dy 2.92
Pd 0.5000 0.0000 0.1676  8 Pd 2.91-2.93, 2 Dy 2.92, 2 Y 2.93
Pd 0.5000 0.0000 0.5000  4 Dy 2.91, 8 Pd 2.92
Pd 0.5000 0.0000 0.8324  8 Pd 2.91-2.93, 2 Dy 2.92, 2 Y 2.93
Pd 0.0000 0.5000 0.1676  8 Pd 2.91-2.93, 2 Dy 2.92, 2 Y 2.93
Pd 0.0000 0.5000 0.5000  4 Dy 2.91, 8 Pd 2.92
Pd 0.0000 0.5000 0.8324  8 Pd 2.91-2.93, 2 Dy 2.92, 2 Y 2.93

Summary:
DFT formation energy	-0.863	eV per atom
SG	P4/mmm (123)
calculated density	10.80	Mg/m³

***

# 6
Compound: Dy2YPd4
Source: Alexandria via LeMat-Bulk
Functional: PBE
Structure: optimized geometry

Lattice parameters (Å, degrees): 5.6264 5.6229 8.6239 105.76 144.19 79.98
Closest atoms and distances in Å follow each position.
Fractional coordinates of all 7 atoms:
Dy 0.0193 0.6647 0.3551  6 Pd 2.84-3.08
Dy 0.9807 0.3353 0.6449  6 Pd 2.84-3.08
Y 0.0000 0.0000 0.0000  8 Pd 2.81-2.98
Pd 0.6989 0.8010 0.5003  3 Pd 2.79-2.87, 4 Dy 2.84-3.08, 2 Y 2.98
Pd 0.3011 0.1990 0.4997  3 Pd 2.79-2.87, 4 Dy 2.84-3.08, 2 Y 2.98
Pd 0.0000 0.5000 0.0000  2 Pd 2.79, 2 Y 2.81, 2 Dy 2.86
Pd 0.5000 0.0000 0.0000  2 Pd 2.79, 2 Y 2.81, 2 Dy 2.86

Summary:
DFT formation energy	-0.798	eV per atom
SG	C2/m (12)
calculated density	9.11	Mg/m³

***

# 7
Compound: DyYZnPd
Source: Alexandria via LeMat-Bulk
Functional: PBE
Structure: optimized geometry

Lattice parameters (Å, degrees): 3.5595 3.5595 7.0035 90.00 90.00 90.00
Closest atoms and distances in Å follow each position.
Fractional coordinates of all 4 atoms:
Dy 0.5000 0.5000 0.1122  4 Pd 3.03, 4 Zn 3.08
Y 0.5000 0.5000 0.6041  4 Pd 3.07, 4 Zn 3.09
Zn 0.0000 0.0000 0.8592  4 Dy 3.08, 4 Y 3.09
Pd 0.0000 0.0000 0.3525  4 Dy 3.03, 4 Y 3.07

Summary:
DFT formation energy	-0.629	eV per atom
SG	P4mm (99)
calculated density	7.92	Mg/m³

***

# 8
Compound: DyYZnPd
Source: Alexandria via LeMat-Bulk
Functional: PBE
Structure: optimized geometry

Lattice parameters (Å, degrees): 5.0097 5.0097 5.0097 60.00 60.00 60.00
Closest atoms and distances in Å follow each position.
Fractional coordinates of all 4 atoms:
Y 0.7500 0.7500 0.7500  4 Zn 3.07, 4 Pd 3.07
Zn 0.0000 0.0000 0.0000  4 Y 3.07, 4 Dy 3.07
Pd 0.5000 0.5000 0.5000  4 Y 3.07, 4 Dy 3.07
Dy 0.2500 0.2500 0.2500  4 Pd 3.07, 4 Zn 3.07

Summary:
DFT formation energy	-0.604	eV per atom
SG	F-43m (216)
calculated density	7.91	Mg/m³

***

Calculated total magnetization in order - 0.000; 0.000; 0.000; 0.000; 0.000; 0.000; 0.000; 0.000 μB per cell
Calculated total energy in order - -5.96; -6.19; -5.74; -6.08; -6.06; -6.00; -5.01; -4.99 eV per atom